Record 1
An optimized crystal structure of TaInS3. Source: Alexandria via LeMat-Bulk, functional PBE.

```
data_TaInS3
_chemical_formula_sum 'Ta2 In2 S6'
_cell_length_a 5.403
_cell_length_b 5.403
_cell_length_c 8.686
_cell_angle_alpha 108.12
_cell_angle_beta 108.12
_cell_angle_gamma 90.00
_symmetry_space_group_name_H-M 'P 1'
_symmetry_Int_Tables_number 1
loop_
_symmetry_equiv_pos_as_xyz
'x,y,z'
loop_
_atom_site_label
_atom_site_type_symbol
_atom_site_fract_x
_atom_site_fract_y
_atom_site_fract_z
Ta1 Ta 0.000 0.000 0.000
Ta2 Ta 0.250 0.750 0.500
In1 In 0.636 0.136 0.273
In2 In 0.864 0.364 0.727
S1 S 0.187 0.894 0.788
S2 S 0.106 0.398 0.212
S3 S 0.106 0.813 0.212
S4 S 0.602 0.894 0.788
S5 S 0.283 0.283 0.567
S6 S 0.717 0.717 0.433
```

E ... -5.60 eV/atom
Formation energy from raw total energies ... -0.2036 eV per atom


Record 2
An optimized crystal structure of TaInS. Source: Alexandria via LeMat-Bulk, functional PBE.

```
data_TaInS
_chemical_formula_sum 'Ta4 In4 S4'
_cell_length_a 3.310
_cell_length_b 15.183
_cell_length_c 5.099
_cell_angle_alpha 90.00
_cell_angle_beta 90.00
_cell_angle_gamma 90.00
_symmetry_space_group_name_H-M 'P 1'
_symmetry_Int_Tables_number 1
loop_
_symmetry_equiv_pos_as_xyz
'x,y,z'
loop_
_atom_site_label
_atom_site_type_symbol
_atom_site_fract_x
_atom_site_fract_y
_atom_site_fract_z
S1 S 0.000 0.365 0.530
S2 S 0.000 0.635 0.530
S3 S 0.500 0.865 0.030
S4 S 0.500 0.135 0.030
In1 In 0.000 0.093 0.519
In2 In 0.000 0.907 0.519
In3 In 0.500 0.593 0.019
In4 In 0.500 0.407 0.019
Ta1 Ta 0.000 0.247 0.874
Ta2 Ta 0.000 0.753 0.874
Ta3 Ta 0.500 0.747 0.374
Ta4 Ta 0.500 0.253 0.374
```

E ... -6.66 eV/atom
Formation energy from raw total energies ... -0.4208 eV per atom


Record 3
An optimized crystal structure of TaInS3. Source: Alexandria via LeMat-Bulk, functional PBE.

```
data_TaInS3
_chemical_formula_sum 'Ta1 In1 S3'
_cell_length_a 4.849
_cell_length_b 4.849
_cell_length_c 4.849
_cell_angle_alpha 90.00
_cell_angle_beta 90.00
_cell_angle_gamma 90.00
_symmetry_space_group_name_H-M 'P 1'
_symmetry_Int_Tables_number 1
loop_
_symmetry_equiv_pos_as_xyz
'x,y,z'
loop_
_atom_site_label
_atom_site_type_symbol
_atom_site_fract_x
_atom_site_fract_y
_atom_site_fract_z
S1 S 0.000 0.500 0.000
S2 S 0.000 0.000 0.500
S3 S 0.500 0.000 0.000
In1 In 0.500 0.500 0.500
Ta1 Ta 0.000 0.000 0.000
```

E ... -5.95 eV/atom
Formation energy from raw total energies ... -0.5593 eV per atom


Record 4
An optimized crystal structure of Ta2InS4. Source: Alexandria via LeMat-Bulk, functional PBE.

```
data_Ta2InS4
_chemical_formula_sum 'Ta2 In1 S4'
_cell_length_a 8.711
_cell_length_b 8.711
_cell_length_c 8.711
_cell_angle_alpha 157.73
_cell_angle_beta 141.06
_cell_angle_gamma 45.31
_symmetry_space_group_name_H-M 'P 1'
_symmetry_Int_Tables_number 1
loop_
_symmetry_equiv_pos_as_xyz
'x,y,z'
loop_
_atom_site_label
_atom_site_type_symbol
_atom_site_fract_x
_atom_site_fract_y
_atom_site_fract_z
Ta1 Ta 0.746 0.750 0.996
Ta2 Ta 0.245 0.250 0.996
In1 In 0.523 0.500 0.023
S1 S 0.482 0.153 0.329
S2 S 0.983 0.653 0.329
S3 S 0.676 0.347 0.329
S4 S 0.176 0.847 0.329
```

E ... -7.12 eV/atom
Formation energy from raw total energies ... -0.9810 eV per atom


Record 5
An optimized crystal structure of TaInS. Source: Alexandria via LeMat-Bulk, functional PBE.

```
data_TaInS
_chemical_formula_sum 'Ta2 In2 S2'
_cell_length_a 3.250
_cell_length_b 5.345
_cell_length_c 7.485
_cell_angle_alpha 98.23
_cell_angle_beta 92.99
_cell_angle_gamma 98.59
_symmetry_space_group_name_H-M 'P 1'
_symmetry_Int_Tables_number 1
loop_
_symmetry_equiv_pos_as_xyz
'x,y,z'
loop_
_atom_site_label
_atom_site_type_symbol
_atom_site_fract_x
_atom_site_fract_y
_atom_site_fract_z
S1 S 0.700 0.027 0.262
S2 S 0.300 0.973 0.738
In1 In 0.868 0.476 0.814
In2 In 0.132 0.524 0.186
Ta1 Ta 0.289 0.239 0.488
Ta2 Ta 0.711 0.761 0.512
```

E ... -6.67 eV/atom
Formation energy from raw total energies ... -0.4318 eV per atom


Record 6
An optimized crystal structure of TaInS4. Source: Alexandria via LeMat-Bulk, functional PBE.

```
data_TaInS4
_chemical_formula_sum 'Ta1 In1 S4'
_cell_length_a 5.842
_cell_length_b 5.842
_cell_length_c 6.652
_cell_angle_alpha 116.04
_cell_angle_beta 116.04
_cell_angle_gamma 90.00
_symmetry_space_group_name_H-M 'P 1'
_symmetry_Int_Tables_number 1
loop_
_symmetry_equiv_pos_as_xyz
'x,y,z'
loop_
_atom_site_label
_atom_site_type_symbol
_atom_site_fract_x
_atom_site_fract_y
_atom_site_fract_z
Ta1 Ta 0.500 0.500 0.000
In1 In 0.750 0.250 0.500
S1 S 0.383 0.849 0.239
S2 S 0.856 0.390 0.239
S3 S 0.151 0.144 0.761
S4 S 0.610 0.617 0.761
```

E ... -5.84 eV/atom
Formation energy from raw total energies ... -0.6541 eV per atom


Record 7
An optimized crystal structure of Ta3In2S6. Source: Alexandria via LeMat-Bulk, functional PBE.

```
data_Ta3In2S6
_chemical_formula_sum 'Ta3 In2 S6'
_cell_length_a 8.729
_cell_length_b 8.729
_cell_length_c 8.729
_cell_angle_alpha 38.99
_cell_angle_beta 38.99
_cell_angle_gamma 38.99
_symmetry_space_group_name_H-M 'P 1'
_symmetry_Int_Tables_number 1
loop_
_symmetry_equiv_pos_as_xyz
'x,y,z'
loop_
_atom_site_label
_atom_site_type_symbol
_atom_site_fract_x
_atom_site_fract_y
_atom_site_fract_z
Ta1 Ta 0.333 0.333 0.333
Ta2 Ta 0.667 0.667 0.667
Ta3 Ta 0.000 0.000 0.000
In1 In 0.167 0.167 0.167
In2 In 0.833 0.833 0.833
S1 S 0.398 0.730 0.065
S2 S 0.065 0.398 0.730
S3 S 0.730 0.065 0.398
S4 S 0.270 0.602 0.935
S5 S 0.935 0.270 0.602
S6 S 0.602 0.935 0.270
```

E ... -6.92 eV/atom
Formation energy from raw total energies ... -0.9387 eV per atom


Record 8
An optimized crystal structure of TaInS. Source: Alexandria via LeMat-Bulk, functional PBE.

```
data_TaInS
_chemical_formula_sum 'Ta1 In1 S1'
_cell_length_a 3.228
_cell_length_b 3.228
_cell_length_c 6.484
_cell_angle_alpha 90.00
_cell_angle_beta 90.00
_cell_angle_gamma 120.00
_symmetry_space_group_name_H-M 'P 1'
_symmetry_Int_Tables_number 1
loop_
_symmetry_equiv_pos_as_xyz
'x,y,z'
loop_
_atom_site_label
_atom_site_type_symbol
_atom_site_fract_x
_atom_site_fract_y
_atom_site_fract_z
S1 S 0.667 0.333 0.511
In1 In 0.000 0.000 0.117
Ta1 Ta 0.333 0.667 0.756
```

E ... -6.66 eV/atom
Formation energy from raw total energies ... -0.4167 eV per atom


Record 9
An optimized crystal structure of TaInS3. Source: Alexandria via LeMat-Bulk, functional PBE.

```
data_TaInS3
_chemical_formula_sum 'Ta1 In1 S3'
_cell_length_a 4.866
_cell_length_b 4.866
_cell_length_c 4.866
_cell_angle_alpha 90.00
_cell_angle_beta 90.00
_cell_angle_gamma 90.00
_symmetry_space_group_name_H-M 'P 1'
_symmetry_Int_Tables_number 1
loop_
_symmetry_equiv_pos_as_xyz
'x,y,z'
loop_
_atom_site_label
_atom_site_type_symbol
_atom_site_fract_x
_atom_site_fract_y
_atom_site_fract_z
S1 S 0.000 0.500 0.000
S2 S 0.000 0.000 0.500
S3 S 0.500 0.000 0.000
In1 In 0.000 0.000 0.000
Ta1 Ta 0.500 0.500 0.500
```

E ... -4.46 eV/atom
Formation energy from raw total energies ... 0.9323 eV per atom


Record 10
An optimized crystal structure of TaInS. Source: Alexandria via LeMat-Bulk, functional PBE.

```
data_TaInS
_chemical_formula_sum 'Ta1 In1 S1'
_cell_length_a 3.250
_cell_length_b 3.250
_cell_length_c 6.522
_cell_angle_alpha 90.00
_cell_angle_beta 90.00
_cell_angle_gamma 120.00
_symmetry_space_group_name_H-M 'P 1'
_symmetry_Int_Tables_number 1
loop_
_symmetry_equiv_pos_as_xyz
'x,y,z'
loop_
_atom_site_label
_atom_site_type_symbol
_atom_site_fract_x
_atom_site_fract_y
_atom_site_fract_z
S1 S 0.000 0.000 0.779
In1 In 0.000 0.000 0.371
Ta1 Ta 0.333 0.667 0.018
```

E ... -6.72 eV/atom
Formation energy from raw total energies ... -0.4792 eV per atom


Record 11
An optimized crystal structure of TaInS. Source: Alexandria via LeMat-Bulk, functional PBE.

```
data_TaInS
_chemical_formula_sum 'Ta3 In3 S3'
_cell_length_a 3.250
_cell_length_b 3.250
_cell_length_c 19.604
_cell_angle_alpha 90.00
_cell_angle_beta 90.00
_cell_angle_gamma 120.00
_symmetry_space_group_name_H-M 'P 1'
_symmetry_Int_Tables_number 1
loop_
_symmetry_equiv_pos_as_xyz
'x,y,z'
loop_
_atom_site_label
_atom_site_type_symbol
_atom_site_fract_x
_atom_site_fract_y
_atom_site_fract_z
S1 S 0.000 0.000 0.348
S2 S 0.333 0.667 0.014
S3 S 0.667 0.333 0.681
In1 In 0.000 0.000 0.211
In2 In 0.333 0.667 0.878
In3 In 0.667 0.333 0.544
Ta1 Ta 0.000 0.000 0.760
Ta2 Ta 0.333 0.667 0.427
Ta3 Ta 0.667 0.333 0.093
```

E ... -6.70 eV/atom
Formation energy from raw total energies ... -0.4570 eV per atom